Record 1
DFT (PBE) results for crystalline TmPuCdCu at its relaxed geometry.

Lattice parameters (Å, degrees): 5.117 5.117 5.117 60.00 60.00 60.00
Last column: magnetic moment on the atom in μB.
Sites, in units of the cell vectors:
Cd1 0.250 0.250 0.250  0.03
Tm1 0.000 0.000 0.000  0.15
Cu1 0.750 0.750 0.750  0.03
Pu1 0.500 0.500 0.500  5.38

Symmetry ... F-43m (216)
ΔE_f ... 0.00 eV/atom
V ... 94.7 Å³/cell
Uncorrected energy ... -5.959 eV per atom

---

Record 2
DFT (PBE) results for crystalline NbSiAsBr2 at its relaxed geometry.

Lattice parameters (Å, degrees): 4.917 4.917 5.032 90.00 90.00 90.00
Last column: magnetic moment on the atom in μB.
Sites, in units of the cell vectors:
Nb1 0.500 0.500 0.500  2.53
Si1 0.000 0.000 0.000  -0.02
As1 0.000 0.000 0.500  -0.22
Br1 0.000 0.500 0.000  -0.04
Br2 0.500 0.000 0.000  -0.04

Symmetry ... P4/mmm (123)
V ... 121.7 Å³/cell
Uncorrected energy ... -3.904 eV per atom

---

Record 3
DFT (PBE) results for crystalline OsWBr2 at its relaxed geometry.

Lattice parameters (Å, degrees): 3.103 3.103 9.153 90.00 90.00 124.08
Last column: magnetic moment on the atom in μB.
Sites, in units of the cell vectors:
Os1 0.500 0.500 0.250  0.17
Br1 0.000 0.000 0.996  0.01
Br2 0.000 0.000 0.504  0.01
W1 0.500 0.500 0.750  0.38

Symmetry ... Cmmm (65)
V ... 73.0 Å³/cell
Uncorrected energy ... -5.406 eV per atom

---

Record 4
DFT (PBE) results for crystalline GaTeMoPd2 at its relaxed geometry.

Lattice parameters (Å, degrees): 4.943 5.143 4.943 90.00 90.00 90.00
Sites, in units of the cell vectors:
Mo1 0.000 0.000 0.000
Te1 0.000 0.500 0.000
Ga1 0.500 0.500 0.500
Pd1 0.000 0.000 0.500
Pd2 0.500 0.000 0.000

Symmetry ... P4/mmm (123)
V ... 125.7 Å³/cell
Uncorrected energy ... -4.779 eV per atom

---

Record 5
DFT (PBE) results for crystalline La4Dy5Ho2 at its relaxed geometry.

Lattice parameters (Å, degrees): 3.486 8.856 12.194 83.26 98.22 90.00
Sites, in units of the cell vectors:
La1 0.680 0.533 0.361
La2 0.045 0.639 0.090
La3 0.320 0.467 0.639
La4 0.955 0.361 0.910
Dy1 0.142 0.890 0.283
Dy2 0.858 0.110 0.717
Dy3 0.089 0.260 0.178
Dy4 0.500 0.000 0.000
Dy5 0.911 0.740 0.822
Ho1 0.769 0.830 0.537
Ho2 0.231 0.170 0.463

Symmetry ... C2/m (12)
ΔE_f ... 0.14 eV/atom
V ... 370.0 Å³/cell
Uncorrected energy ... -4.573 eV per atom

---

Record 6
DFT (PBE) results for crystalline LiHfNbSn2 at its relaxed geometry.

Lattice parameters (Å, degrees): 4.634 4.743 4.634 90.00 90.00 90.00
Sites, in units of the cell vectors:
Nb1 0.500 0.500 0.500
Hf1 0.000 0.500 0.000
Sn1 0.000 0.000 0.500
Sn2 0.500 0.000 0.000
Li1 0.000 0.000 0.000

Symmetry ... P4/mmm (123)
ΔE_f ... 0.68 eV/atom
V ... 101.8 Å³/cell
Uncorrected energy ... -5.309 eV per atom

---

Asked for DOS at the Fermi energy across the records above, the calculation gives 9.789, 4.498, 5.088, 3.940, 17.985, 5.049 states/eV/cell in order.